The following is a GGA-PBE calculation of an optimized crystal structure of Cs2AcBrO2, from Alexandria via LeMat-Bulk.

N(E_F): 0.000 states/eV/cell
Raw formation energy: -2.0967 eV per atom
Total magnetic moment: 0.0 μB/cell

a b c (Å): 4.903 4.903 7.565
angles (deg): 90.00 90.00 90.00
Space group P4/mmm (No. 123)
Symmetry-distinct sites (fractional):
Cs1 0.000 0.000 0.246
Ac1 0.500 0.500 0.500
Br1 0.500 0.500 0.000
O1 0.000 0.500 0.500

---

The following is a GGA-PBE calculation of an optimized crystal structure of ScSiOs, from Alexandria via LeMat-Bulk.

N(E_F): 3.037 states/eV/cell
Raw formation energy: -0.5574 eV per atom
Total magnetic moment: 0.0 μB/cell

a b c (Å): 3.078 3.078 10.090
angles (deg): 90.00 90.00 90.00
Space group I4mm (No. 107)
Symmetry-distinct sites (fractional):
Sc1 0.000 0.000 0.000
Si1 0.000 0.000 0.697
Os1 0.000 0.000 0.311

---

> What is the total magnetic moment in the second record?

0.0 μB/cell